First-principles (PBE) data for a relaxed Tl2SbOs crystal, as listed in the Alexandria database.

Values from the calculation:
Space-group type: F-43m
Formation energy (no corrections) (eV/atom): 0.891
M_tot (Bohr magnetons per cell): 0.00

a b c (Å): 5.049 5.049 5.049
angles (deg): 60.00 60.00 60.00
Atoms (fractional coordinates):
Tl: 0.250 0.250 0.250
Tl: 0.000 0.000 0.000
Os: 0.500 0.500 0.500
Sb: 0.750 0.750 0.750


First-principles (PBE) data for a relaxed Tl2SbOs crystal, as listed in the Alexandria database.

Values from the calculation:
Space-group type: Imm2
Formation energy (no corrections) (eV/atom): 0.479
M_tot (Bohr magnetons per cell): 0.00

a b c (Å): 7.383 7.383 7.383
angles (deg): 154.98 143.22 45.00
Atoms (fractional coordinates):
Sb: 0.673 0.173 0.500
Os: 0.517 0.517 0.000
Tl: 0.315 0.815 0.500
Tl: 0.995 0.995 0.000


First-principles (PBE) data for a relaxed Tl2SbOs crystal, as listed in the Alexandria database.

Values from the calculation:
Space-group type: R-3m
Formation energy (no corrections) (eV/atom): 0.827
M_tot (Bohr magnetons per cell): 0.00

a b c (Å): 10.220 10.220 10.220
angles (deg): 18.39 18.39 18.39
Atoms (fractional coordinates):
Tl: 0.989 0.989 0.989
Tl: 0.511 0.511 0.511
Os: 0.250 0.250 0.250
Sb: 0.750 0.750 0.750